A relaxed LiMgTa2N4 crystal. Source: Alexandria, functional PBE.

Output
uncorrected formation energy: -1072.2 meV/atom
calculated total energy: -8.64 eV/atom
spin magnetization: 0.00 μB per cell
N(E_F): 1.65 states/eV per cell

a b c (Å): 5.320 3.076 5.441
angles (deg): 90.00 108.87 90.00
Atoms (fractional coordinates):
Li: 0.000 0.000 0.000
Mg: 0.500 0.500 0.000
Ta: 0.000 0.500 0.500
Ta: 0.500 0.000 0.500
N: 0.248 0.000 0.737
N: 0.260 0.500 0.272
N: 0.740 0.500 0.728
N: 0.752 0.000 0.263